Below is TmPuCo after structural relaxation, with properties calculated at the GGA-PBE level.

Cell: 5.475 3.991 5.601 Å, 90.00 106.00 90.00°
Space group P2_1/m (No. 11)
One atom of each set of equivalent atoms:
Tm: 0.222 0.250 0.428 [2 per cell]
Pu: 0.375 0.750 0.989 [2 per cell]
Co: 0.077 0.250 0.882 [2 per cell]

Output
Magnetic moment (μB per formula unit): 1.409
Polymorph energy (0 for the lowest one) (meV/atom): 0

Below is GdScPt after structural relaxation, with properties calculated at the GGA-PBE level.

Cell: 3.469 3.469 11.403 Å, 90.00 90.00 90.00°
Space group I4mm (No. 107)
One atom of each set of equivalent atoms:
Gd: 0.000 0.000 0.000 [2 per cell]
Sc: 0.000 0.000 0.284 [2 per cell]
Pt: 0.000 0.000 0.665 [2 per cell]

Output
Magnetic moment (μB per formula unit): 8.023
Polymorph energy (0 for the lowest one) (meV/atom): 21

Below is Tl4In5Sn4 after structural relaxation, with properties calculated at the GGA-PBE level.

Cell: 12.455 12.455 4.801 Å, 90.00 90.00 90.00°
Space group I4/m (No. 87)
One atom of each set of equivalent atoms:
Tl: 0.154 0.771 0.000 [8 per cell]
In: 0.000 0.000 0.000 [2 per cell]
In: 0.035 0.194 0.500 [8 per cell]
Sn: 0.074 0.391 0.000 [8 per cell]

Output
Magnetic moment (μB per formula unit): 0.000
VASP energy (eV/cell): -77.5

Below is Li2LaMo after structural relaxation, with properties calculated at the GGA-PBE level.

Cell: 2.919 3.786 7.544 Å, 90.00 90.00 90.00°
Space group Pmm2 (No. 25)
One atom of each set of equivalent atoms:
Li: 0.000 0.000 0.000 [1 per cell]
Li: 0.500 0.500 0.190 [1 per cell]
La: 0.500 0.500 0.642 [1 per cell]
Mo: 0.000 0.000 0.382 [1 per cell]

Output
Magnetic moment (μB per formula unit): 0.000
Polymorph energy (0 for the lowest one) (meV/atom): 61